# 1
VASP calculation (PBE-GGA) on an optimized crystal structure of BaZr3V.

Cell lengths 5.169, 5.169, 5.169 Å; angles 90.00, 90.00, 90.00 degrees
Atoms (fractional coordinates):
1 Ba 0.000 0.000 0.000
2 Zr 0.000 0.500 0.500
3 Zr 0.500 0.000 0.500
4 Zr 0.500 0.500 0.000
5 V 0.500 0.500 0.500

## Properties
**Formation energy**: 630.5 meV per atom
**SG**: Pm-3m
**Total magnetic moment**: 0.0 μB/cell
**Energy above the most stable polymorph in this dataset**: 0.00 eV per formula unit
**E**: -6.707 eV/atom

=====

# 2
VASP calculation (PBE-GGA) on an optimized crystal structure of Ru2PtBr.

Cell lengths 4.686, 4.686, 2.887 Å; angles 90.00, 90.00, 99.26 degrees
Atoms (fractional coordinates):
1 Ru 0.000 0.500 0.000
2 Ru 0.500 0.000 0.000
3 Pt 0.000 0.000 0.500
4 Br 0.500 0.500 0.500

## Properties
**SG**: Cmmm
**Total magnetic moment**: 0.0 μB/cell
**Energy above the most stable polymorph in this dataset**: 1.33 eV per formula unit
**E**: -5.793 eV/atom

=====

# 3
VASP calculation (PBE-GGA) on an optimized crystal structure of Ce6FeSn2.

Cell lengths 6.898, 6.898, 6.898 Å; angles 119.96, 119.96, 90.07 degrees
Atoms (fractional coordinates):
1 Ce 0.236 0.236 0.000
2 Ce 0.238 0.238 0.476
3 Ce 0.238 0.762 0.000
4 Ce 0.762 0.238 0.000
5 Ce 0.762 0.762 0.524
6 Ce 0.764 0.764 0.000
7 Fe 0.500 0.500 0.000
8 Sn 0.250 0.750 0.500
9 Sn 0.750 0.250 0.500

## Properties
**Formation energy**: -391.7 meV per atom
**SG**: I4/mmm
**Total magnetic moment**: 3.2 μB/cell
**E**: -6.177 eV/atom